This record from the Alexandria database describes a geometry-optimized PuSBr structure. The functional is PBE.

Structure (POSCAR):
```
PuSBr
1.0
6.695 0.000 0.000
0.000 4.134 0.000
0.000 -2.067 3.580
S Br Pu
1 1 1
Direct
0.212 0.333 0.667
0.759 0.667 0.333
0.029 0.000 0.000
```

Computed properties:
Total magnetic moment ... 5.0 μB/f.u.
Electronic total energy ... -24.72 eV/f.u.